Entry 1:
First-principles (PBE) data for a relaxed structure of Li2CeF8, as listed in Alexandria.

Values from the calculation:
Raw total energy (eV/atom): -4.8531
Raw formation energy (meV per atom): -2605
Total magnetic moment (Bohr magnetons per cell): 2.00

Cell lengths 6.2190, 6.2190, 6.2190 Å; angles 127.17, 127.17, 77.98 degrees
Last column: nearest neighbours and their distance in Å.
Sites, in units of the cell vectors:
Li  0.2500  0.7500  0.5000  4 F 2.02
Li  0.7500  0.2500  0.5000  4 F 2.02
Ce  0.0000  0.0000  0.0000  8 F 2.26
F  0.0705  0.5918  0.9170  1 Li 2.02
F  0.1534  0.0705  0.4786  1 Li 2.02
F  0.3252  0.4082  0.4786  1 Li 2.02
F  0.4082  0.9295  0.0830  1 Li 2.02
F  0.5918  0.6748  0.5214  1 Li 2.02
F  0.6748  0.1534  0.0830  1 Li 2.02
F  0.8466  0.3252  0.9170  1 Li 2.02
F  0.9295  0.8466  0.5214  1 Li 2.02

***

Entry 2:
First-principles (PBE) data for a relaxed structure of LiCeF4, as listed in Alexandria.

Values from the calculation:
Raw total energy (eV/atom): -6.0981
Raw formation energy (meV per atom): -3543
Total magnetic moment (Bohr magnetons per cell): 1.00

Cell lengths 4.8519, 4.8519, 3.8550 Å; angles 90.00, 90.00, 95.70 degrees
Last column: nearest neighbours and their distance in Å.
Sites, in units of the cell vectors:
Li  0.0000  0.0000  0.0000  2 F 1.89
Ce  0.5000  0.5000  0.5000  6 F 2.25-2.36
F  0.1877  0.8123  0.5000  1 Ce 2.25, 2 Li 2.35
F  0.2901  0.2901  0.0000  1 Li 1.89
F  0.7099  0.7099  0.0000  1 Li 1.89
F  0.8123  0.1877  0.5000  1 Ce 2.25, 2 Li 2.35

***

Entry 3:
First-principles (PBE) data for a relaxed structure of Li3CeF6, as listed in Alexandria.

Values from the calculation:
Raw total energy (eV/atom): -5.5636
Raw formation energy (meV per atom): -3273
Total magnetic moment (Bohr magnetons per cell): 2.00

Cell lengths 5.3405, 5.4258, 9.8962 Å; angles 90.00, 119.59, 90.00 degrees
Last column: nearest neighbours and their distance in Å.
Sites, in units of the cell vectors:
Li  0.0000  0.0000  0.0000  4 F 2.01
Li  0.0000  0.5000  0.5000  4 F 2.01
Li  0.2576  0.0025  0.7468  4 F 1.88-1.98
Li  0.2576  0.4975  0.2468  4 F 1.88-1.98
Li  0.7424  0.5025  0.7532  4 F 1.88-1.98
Li  0.7424  0.9975  0.2532  4 F 1.88-1.98
Ce  0.5000  0.0000  0.5000  6 F 2.29-2.39
Ce  0.5000  0.5000  0.0000  6 F 2.29-2.39
F  0.0547  0.1770  0.4190  2 Li 1.93-2.01
F  0.0547  0.3230  0.9190  2 Li 1.93-2.01
F  0.2366  0.6455  0.4131  2 Li 1.88-2.01
F  0.2366  0.8545  0.9131  2 Li 1.88-2.01
F  0.4143  0.1628  0.2562  2 Li 1.98
F  0.4143  0.3372  0.7562  2 Li 1.98
F  0.5857  0.6628  0.2438  2 Li 1.98
F  0.5857  0.8372  0.7438  2 Li 1.98
F  0.7634  0.1455  0.0869  2 Li 1.88-2.01
F  0.7634  0.3545  0.5869  2 Li 1.88-2.01
F  0.9453  0.6770  0.0810  2 Li 1.93-2.01
F  0.9453  0.8230  0.5810  2 Li 1.93-2.01

***

Entry 4:
First-principles (PBE) data for a relaxed structure of LiCe2F8, as listed in Alexandria.

Values from the calculation:
Raw total energy (eV/atom): -6.3231
Energy above the lowest structure with this stoichiometry (meV/atom): 19
Raw formation energy (meV per atom): -3709
Total magnetic moment (Bohr magnetons per cell): 1.03

Cell lengths 6.4016, 6.4016, 4.1858 Å; angles 106.61, 106.61, 70.34 degrees
Last column: nearest neighbours and their distance in Å.
Sites, in units of the cell vectors:
Li  0.0000  0.0000  0.0000  6 F 2.09-2.16
Ce  0.3138  0.3138  0.5800  9 F 2.29-2.56
Ce  0.6862  0.6862  0.4200  9 F 2.29-2.56
F  0.0785  0.6764  0.6494  1 Li 2.16, 2 Ce 2.29-2.40
F  0.1893  0.1893  0.9342  1 Li 2.09, 1 Ce 2.29
F  0.3236  0.9215  0.3506  1 Li 2.16, 2 Ce 2.29-2.40
F  0.4360  0.4360  0.1933  3 Ce 2.39-2.45, 3 F 2.43-2.45
F  0.5640  0.5640  0.8067  3 Ce 2.39-2.45, 3 F 2.43-2.45
F  0.6764  0.0785  0.6494  1 Li 2.16, 2 Ce 2.29-2.40
F  0.8107  0.8107  0.0658  1 Li 2.09, 1 Ce 2.29
F  0.9215  0.3236  0.3506  1 Li 2.16, 2 Ce 2.29-2.40

***

Entry 5:
First-principles (PBE) data for a relaxed structure of LiCe2F8, as listed in Alexandria.

Values from the calculation:
Raw total energy (eV/atom): -6.3416
Energy above the lowest structure with this stoichiometry (meV/atom): 0
Raw formation energy (meV per atom): -3728
Total magnetic moment (Bohr magnetons per cell): 1.03

Cell lengths 6.4993, 6.4993, 4.4565 Å; angles 96.15, 96.15, 112.57 degrees
Last column: nearest neighbours and their distance in Å.
Sites, in units of the cell vectors:
Li  0.0000  0.0000  0.0000  4 F 2.00
Ce  0.3239  0.6761  0.0000  8 F 2.30-2.39
Ce  0.6761  0.3239  0.0000  8 F 2.30-2.39
F  0.0468  0.3246  0.0516  1 Li 2.00
F  0.2685  0.7315  0.5000  2 Ce 2.31
F  0.3246  0.0468  0.0516  1 Li 2.00
F  0.3980  0.3980  0.7296  2 Ce 2.30, 1 F 2.57
F  0.6020  0.6020  0.2704  2 Ce 2.30, 1 F 2.57
F  0.6754  0.9532  0.9484  1 Li 2.00
F  0.7315  0.2685  0.5000  2 Ce 2.31
F  0.9532  0.6754  0.9484  1 Li 2.00

***

Entry 6:
First-principles (PBE) data for a relaxed structure of Li2CeMgF8, as listed in Alexandria.

Values from the calculation:
Raw total energy (eV/atom): -5.3594
Raw formation energy (meV per atom): -3165
Total magnetic moment (Bohr magnetons per cell): 0.17

Cell lengths 5.0055, 5.0055, 6.5674 Å; angles 90.00, 90.00, 120.00 degrees
Last column: nearest neighbours and their distance in Å.
Sites, in units of the cell vectors:
Li  0.3333  0.6667  0.2257  4 F 1.80-1.82
Li  0.6667  0.3333  0.7743  4 F 1.80-1.82
Ce  0.0000  0.0000  0.5000  6 F 2.39
Mg  0.0000  0.0000  0.0000  6 F 1.97
F  0.0022  0.7168  0.7925  1 Li 1.82, 1 Mg 1.97
F  0.2832  0.2853  0.7925  1 Li 1.82, 1 Mg 1.97
F  0.2853  0.0022  0.2075  1 Li 1.82, 1 Mg 1.97
F  0.3333  0.6667  0.5004  1 Li 1.80
F  0.6667  0.3333  0.4996  1 Li 1.80
F  0.7147  0.9978  0.7925  1 Li 1.82, 1 Mg 1.97
F  0.7168  0.7147  0.2075  1 Li 1.82, 1 Mg 1.97
F  0.9978  0.2832  0.2075  1 Li 1.82, 1 Mg 1.97

***

Entry 7:
First-principles (PBE) data for a relaxed structure of LiCeMgF6, as listed in Alexandria.

Values from the calculation:
Raw total energy (eV/atom): -5.7821
Raw formation energy (meV per atom): -3485
Total magnetic moment (Bohr magnetons per cell): 2.00

Cell lengths 5.6922, 5.6922, 8.6738 Å; angles 90.00, 90.00, 120.00 degrees
Last column: nearest neighbours and their distance in Å.
Sites, in units of the cell vectors:
Li  0.0000  0.0000  0.0000  6 F 2.22
Li  0.0000  0.0000  0.5000  6 F 2.22
Ce  0.3333  0.6667  0.2500  6 F 2.33
Ce  0.6667  0.3333  0.7500  6 F 2.33
Mg  0.3333  0.6667  0.7500  6 F 2.02
Mg  0.6667  0.3333  0.2500  6 F 2.02
F  0.0411  0.3585  0.6265  1 Mg 2.02, 1 Li 2.22
F  0.0411  0.6826  0.8735  1 Mg 2.02, 1 Li 2.22
F  0.3174  0.3585  0.8735  1 Mg 2.02, 1 Li 2.22
F  0.3174  0.9589  0.6265  1 Mg 2.02, 1 Li 2.22
F  0.3585  0.0411  0.1265  1 Mg 2.02, 1 Li 2.22
F  0.3585  0.3174  0.3735  1 Mg 2.02, 1 Li 2.22
F  0.6415  0.6826  0.6265  1 Mg 2.02, 1 Li 2.22
F  0.6415  0.9589  0.8735  1 Mg 2.02, 1 Li 2.22
F  0.6826  0.0411  0.3735  1 Mg 2.02, 1 Li 2.22
F  0.6826  0.6415  0.1265  1 Mg 2.02, 1 Li 2.22
F  0.9589  0.3174  0.1265  1 Mg 2.02, 1 Li 2.22
F  0.9589  0.6415  0.3735  1 Mg 2.02, 1 Li 2.22

***

Entry 8:
First-principles (PBE) data for a relaxed structure of NaLiCeF6, as listed in Alexandria.

Values from the calculation:
Raw total energy (eV/atom): -5.6147
Raw formation energy (meV per atom): -3349
Total magnetic moment (Bohr magnetons per cell): 0.00

Cell lengths 5.5921, 5.5921, 9.7501 Å; angles 90.00, 90.00, 120.00 degrees
Last column: nearest neighbours and their distance in Å.
Sites, in units of the cell vectors:
Na  0.0000  0.0000  0.0000  6 F 2.37
Na  0.0000  0.0000  0.5000  6 F 2.37
Li  0.3333  0.6667  0.2500  6 F 2.08
Li  0.6667  0.3333  0.7500  6 F 2.08
Ce  0.3333  0.6667  0.7500  6 F 2.18
Ce  0.6667  0.3333  0.2500  6 F 2.18
F  0.0134  0.3578  0.1360  1 Li 2.08, 1 Ce 2.18
F  0.0134  0.6556  0.3640  1 Li 2.08, 1 Ce 2.18
F  0.3444  0.3578  0.3640  1 Li 2.08, 1 Ce 2.18
F  0.3444  0.9866  0.1360  1 Li 2.08, 1 Ce 2.18
F  0.3578  0.0134  0.6360  1 Li 2.08, 1 Ce 2.18
F  0.3578  0.3444  0.8640  1 Li 2.08, 1 Ce 2.18
F  0.6422  0.6556  0.1360  1 Li 2.08, 1 Ce 2.18
F  0.6422  0.9866  0.3640  1 Li 2.08, 1 Ce 2.18
F  0.6556  0.0134  0.8640  1 Li 2.08, 1 Ce 2.18
F  0.6556  0.6422  0.6360  1 Li 2.08, 1 Ce 2.18
F  0.9866  0.3444  0.6360  1 Li 2.08, 1 Ce 2.18
F  0.9866  0.6422  0.8640  1 Li 2.08, 1 Ce 2.18

***

Entry 9:
First-principles (PBE) data for a relaxed structure of Li2CeNpF8, as listed in Alexandria.

Values from the calculation:
Raw total energy (eV/atom): -6.6069
Raw formation energy (meV per atom): -3467
Total magnetic moment (Bohr magnetons per cell): 5.00

Cell lengths 6.8865, 6.8865, 6.8865 Å; angles 134.10, 134.10, 66.92 degrees
Last column: nearest neighbours and their distance in Å.
Sites, in units of the cell vectors:
Li  0.0000  0.0000  0.0000  4 F 1.94
Li  0.7500  0.2500  0.5000  4 F 1.94
Ce  0.5000  0.5000  0.0000  8 F 2.39-2.44
Np  0.2500  0.7500  0.5000  8 F 2.38-2.44
F  0.1051  0.4924  0.9340  1 Li 1.94
F  0.1914  0.0774  0.4323  1 Li 1.94
F  0.2409  0.8086  0.8860  1 Li 1.94
F  0.5076  0.4416  0.6127  1 Li 1.94
F  0.5584  0.1711  0.0660  1 Li 1.94
F  0.6451  0.7591  0.5677  1 Li 1.94
F  0.8289  0.8949  0.3873  1 Li 1.94
F  0.9226  0.3549  0.1140  1 Li 1.94